Record 1
First-principles (PBE) data for a relaxed Sm6Fe2Ag crystal, as listed in the Alexandria database.

Summary:
Fermi-level density of states, states/eV/cell: 19.44
E_tot, eV per atom: -5.38
Energy relative to the elements, eV per atom: -0.0335
Total moment, μB per formula unit: 1.41

Cell: 8.529 8.529 8.529 Å, 107.86 109.34 111.23°
Fractional positions:
Fe (0.500, 0.391, 0.891)
Fe (0.500, 0.609, 0.109)
Fe (0.388, 0.000, 0.388)
Fe (0.612, 0.000, 0.612)
Sm (0.294, 0.980, 0.686)
Sm (0.706, 0.020, 0.314)
Sm (0.706, 0.392, 0.686)
Sm (0.788, 0.783, 0.571)
Sm (0.477, 0.292, 0.185)
Sm (0.523, 0.708, 0.815)
Sm (0.893, 0.708, 0.185)
Sm (0.107, 0.292, 0.815)
Sm (0.212, 0.783, 0.994)
Sm (0.212, 0.217, 0.429)
Sm (0.294, 0.608, 0.314)
Sm (0.788, 0.217, 0.006)
Ag (0.000, 0.000, 0.000)
Ag (0.000, 0.500, 0.500)

Record 2
First-principles (PBE) data for a relaxed TbSmFeAg crystal, as listed in the Alexandria database.

Summary:
Fermi-level density of states, states/eV/cell: 7.31
E_tot, eV per atom: -5.15
Energy relative to the elements, eV per atom: 0.0197
Total moment, μB per formula unit: 1.36

Cell: 5.041 5.041 5.041 Å, 60.00 60.00 60.00°
Fractional positions:
Fe (0.500, 0.500, 0.500)
Tb (0.750, 0.750, 0.750)
Ag (0.000, 0.000, 0.000)
Sm (0.250, 0.250, 0.250)

Record 3
First-principles (PBE) data for a relaxed SmYFeAg crystal, as listed in the Alexandria database.

Summary:
Fermi-level density of states, states/eV/cell: 7.39
E_tot, eV per atom: -5.61
Energy relative to the elements, eV per atom: 0.0165
Total moment, μB per formula unit: 1.38

Cell: 5.042 5.042 5.042 Å, 60.00 60.00 60.00°
Fractional positions:
Fe (0.500, 0.500, 0.500)
Ag (0.000, 0.000, 0.000)
Y (0.250, 0.250, 0.250)
Sm (0.750, 0.750, 0.750)

Record 4
First-principles (PBE) data for a relaxed FeAgSn4 crystal, as listed in the Alexandria database.

Summary:
Fermi-level density of states, states/eV/cell: 5.39
E_tot, eV per atom: -4.49
Energy relative to the elements, eV per atom: 0.0649
Total moment, μB per formula unit: 0.00

Cell: 6.642 6.642 7.455 Å, 116.45 116.45 90.00°
Fractional positions:
Sn (0.698, 0.518, 0.716)
Sn (0.302, 0.482, 0.284)
Sn (0.018, 0.198, 0.716)
Sn (0.482, 0.982, 0.284)
Sn (0.802, 0.302, 0.284)
Sn (0.982, 0.802, 0.284)
Sn (0.518, 0.018, 0.716)
Sn (0.198, 0.698, 0.716)
Ag (0.000, 0.000, 0.000)
Ag (0.500, 0.500, 0.000)
Fe (0.750, 0.750, 0.500)
Fe (0.250, 0.250, 0.500)

Record 5
First-principles (PBE) data for a relaxed FeAgSn2 crystal, as listed in the Alexandria database.

Summary:
Fermi-level density of states, states/eV/cell: 2.07
ΔE to the lowest computed polymorph, meV/atom: 0
E_tot, eV per atom: -4.60
Energy relative to the elements, eV per atom: 0.2260
Total moment, μB per formula unit: 1.63

Cell: 3.224 3.224 9.526 Å, 80.26 80.26 60.00°
Fractional positions:
Fe (0.500, 0.500, 0.500)
Sn (0.098, 0.098, 0.707)
Sn (0.902, 0.902, 0.293)
Ag (0.000, 0.000, 0.000)

Record 6
First-principles (PBE) data for a relaxed Fe2AgSn2 crystal, as listed in the Alexandria database.

Summary:
Fermi-level density of states, states/eV/cell: 8.74
ΔE to the lowest computed polymorph, meV/atom: 0
E_tot, eV per atom: -5.34
Energy relative to the elements, eV per atom: 0.2127
Total moment, μB per formula unit: 3.58

Cell: 7.235 7.235 3.292 Å, 90.00 90.00 90.00°
Fractional positions:
Sn (0.826, 0.326, 0.500)
Sn (0.174, 0.674, 0.500)
Sn (0.326, 0.174, 0.500)
Sn (0.674, 0.826, 0.500)
Fe (0.882, 0.618, 0.000)
Fe (0.382, 0.882, 0.000)
Fe (0.618, 0.118, 0.000)
Fe (0.118, 0.382, 0.000)
Ag (0.000, 0.000, 0.000)
Ag (0.500, 0.500, 0.000)

Record 7
First-principles (PBE) data for a relaxed FeAg2Sn crystal, as listed in the Alexandria database.

Summary:
Fermi-level density of states, states/eV/cell: 4.47
E_tot, eV per atom: -4.14
Energy relative to the elements, eV per atom: 0.3993
Total moment, μB per formula unit: 2.77

Cell: 3.915 3.915 10.432 Å, 79.18 79.18 90.00°
Fractional positions:
Fe (0.500, 0.500, 0.000)
Fe (0.250, 0.750, 0.500)
Ag (0.131, 0.625, 0.250)
Ag (0.375, 0.381, 0.750)
Ag (0.619, 0.125, 0.250)
Ag (0.875, 0.869, 0.750)
Sn (0.000, 0.000, 0.000)
Sn (0.750, 0.250, 0.500)

Record 8
First-principles (PBE) data for a relaxed FeAgSn3 crystal, as listed in the Alexandria database.

Summary:
Fermi-level density of states, states/eV/cell: 3.07
ΔE to the lowest computed polymorph, meV/atom: 0
E_tot, eV per atom: -4.43
Energy relative to the elements, eV per atom: 0.2349
Total moment, μB per formula unit: 1.00

Cell: 4.923 4.923 4.923 Å, 90.00 90.00 90.00°
Fractional positions:
Sn (0.500, 0.000, 0.000)
Sn (0.000, 0.000, 0.500)
Sn (0.000, 0.500, 0.000)
Fe (0.000, 0.000, 0.000)
Ag (0.500, 0.500, 0.500)

Record 9
First-principles (PBE) data for a relaxed Fe2AgSn2 crystal, as listed in the Alexandria database.

Summary:
Fermi-level density of states, states/eV/cell: 2.68
ΔE to the lowest computed polymorph, meV/atom: 49
E_tot, eV per atom: -5.30
Energy relative to the elements, eV per atom: 0.2614
Total moment, μB per formula unit: 4.14

Cell: 3.325 3.325 8.914 Å, 79.25 79.25 90.00°
Fractional positions:
Sn (0.379, 0.379, 0.243)
Sn (0.621, 0.621, 0.757)
Fe (0.750, 0.250, 0.500)
Fe (0.250, 0.750, 0.500)
Ag (0.000, 0.000, 0.000)

Record 10
First-principles (PBE) data for a relaxed FeAg3Sn crystal, as listed in the Alexandria database.

Summary:
Fermi-level density of states, states/eV/cell: 8.59
ΔE to the lowest computed polymorph, meV/atom: 0
E_tot, eV per atom: -3.17
Energy relative to the elements, eV per atom: 1.0367
Total moment, μB per formula unit: 0.00

Cell: 4.823 4.823 4.823 Å, 90.00 90.00 90.00°
Fractional positions:
Fe (0.000, 0.000, 0.000)
Ag (0.000, 0.500, 0.000)
Ag (0.000, 0.000, 0.500)
Ag (0.500, 0.000, 0.000)
Sn (0.500, 0.500, 0.500)

Record 11
First-principles (PBE) data for a relaxed FeAgSn2 crystal, as listed in the Alexandria database.

Summary:
Fermi-level density of states, states/eV/cell: 5.01
ΔE to the lowest computed polymorph, meV/atom: 222
E_tot, eV per atom: -4.38
Energy relative to the elements, eV per atom: 0.4483
Total moment, μB per formula unit: 0.00

Cell: 4.747 4.747 4.747 Å, 60.00 60.00 60.00°
Fractional positions:
Sn (0.250, 0.250, 0.250)
Sn (0.750, 0.750, 0.750)
Ag (0.500, 0.500, 0.500)
Fe (0.000, 0.000, 0.000)

Record 12
First-principles (PBE) data for a relaxed Sr3FeAg crystal, as listed in the Alexandria database.

Summary:
Fermi-level density of states, states/eV/cell: 8.31
ΔE to the lowest computed polymorph, meV/atom: 0
E_tot, eV per atom: -2.78
Energy relative to the elements, eV per atom: 0.4946
Total moment, μB per formula unit: 0.00

Cell: 5.590 5.590 5.590 Å, 90.00 90.00 90.00°
Fractional positions:
Sr (0.000, 0.000, 0.500)
Sr (0.500, 0.000, 0.000)
Sr (0.000, 0.500, 0.000)
Ag (0.500, 0.500, 0.500)
Fe (0.000, 0.000, 0.000)